Record 1
The following is a meta-GGA SCAN calculation of LiNb3Si at its PBEsol-relaxed geometry, from Alexandria via LeMat-Bulk.

E_tot	-21.523	eV/atom
formation energy without anion corrections	0.84	eV per atom
mass density	6.5	g/cm³
space-group type	Pm-3m (221)

abc: 4.3098 4.3098 4.3098
angles: 90.00 90.00 90.00
Closest atoms and distances in Å follow each position.
Atoms (fractional coordinates):
1 Nb 0.0000 0.5000 0.0000  2 Li 2.15
2 Nb 0.0000 0.0000 0.5000  2 Li 2.15
3 Nb 0.5000 0.0000 0.0000  2 Li 2.15
4 Si 0.5000 0.5000 0.5000  12 Nb 3.05
5 Li 0.0000 0.0000 0.0000  6 Nb 2.15

---

Record 2
The following is a meta-GGA SCAN calculation of Al2CoHg at its PBEsol-relaxed geometry, from Alexandria via LeMat-Bulk.

ΔE to the lowest computed polymorph	429	meV per atom
E_tot	-24.987	eV/atom
formation energy from the elements	1.02	eV per formula unit
mass density	8.8	g/cm³
space-group type	F-43m (216)

abc: 4.3806 4.3806 4.3806
angles: 60.00 60.00 60.00
Closest atoms and distances in Å follow each position.
Atoms (fractional coordinates):
1 Co 0.5000 0.5000 0.5000  4 Hg 2.68, 4 Al 2.68
2 Hg 0.7500 0.7500 0.7500  4 Co 2.68, 4 Al 2.68
3 Al 0.0000 0.0000 0.0000  4 Al 2.68, 4 Hg 2.68
4 Al 0.2500 0.2500 0.2500  4 Co 2.68, 4 Al 2.68

---

Record 3
The following is a meta-GGA SCAN calculation of TeRhSe2 at its PBEsol-relaxed geometry, from Alexandria via LeMat-Bulk.

E_tot	-27.318	eV/atom
formation energy without anion corrections	0.48	eV per atom
mass density	8.7	g/cm³
space-group type	F-43m (216)

abc: 4.7214 4.7214 4.7214
angles: 60.00 60.00 60.00
Closest atoms and distances in Å follow each position.
Atoms (fractional coordinates):
1 Rh 0.5000 0.5000 0.5000  4 Se 2.89, 4 Te 2.89
2 Se 0.0000 0.0000 0.0000  4 Te 2.89, 4 Se 2.89
3 Se 0.7500 0.7500 0.7500  4 Se 2.89, 4 Rh 2.89
4 Te 0.2500 0.2500 0.2500  4 Rh 2.89, 4 Se 2.89

---

Record 4
The following is a meta-GGA SCAN calculation of Ba3CoH at its PBEsol-relaxed geometry, from Alexandria via LeMat-Bulk.

E_tot	-27.294	eV/atom
mass density	4.3	g/cm³
space-group type	Pm-3m (221)

abc: 5.6778 5.6778 5.6778
angles: 90.00 90.00 90.00
Closest atoms and distances in Å follow each position.
Atoms (fractional coordinates):
1 H 0.5000 0.5000 0.5000  12 Ba 4.01
2 Co 0.0000 0.0000 0.0000  6 Ba 2.84
3 Ba 0.0000 0.5000 0.0000  2 Co 2.84
4 Ba 0.0000 0.0000 0.5000  2 Co 2.84
5 Ba 0.5000 0.0000 0.0000  2 Co 2.84

---

Record 5
The following is a meta-GGA SCAN calculation of Sr2Be3 at its PBEsol-relaxed geometry, from Alexandria via LeMat-Bulk.

ΔE to the lowest computed polymorph	0	meV per atom
E_tot	-11.389	eV/atom
formation energy from the elements	0.67	eV per formula unit
mass density	3.0	g/cm³
space-group type	P-3m1 (164)

abc: 3.8260 3.8260 8.9233
angles: 90.00 90.00 120.00
Closest atoms and distances in Å follow each position.
Atoms (fractional coordinates):
1 Sr 0.3333 0.6667 0.7031  1 Be 2.87
2 Sr 0.6667 0.3333 0.2969  1 Be 2.87
3 Be 0.0000 0.0000 0.0000  6 Be 2.22
4 Be 0.3333 0.6667 0.0249  6 Be 2.22-2.25
5 Be 0.6667 0.3333 0.9751  6 Be 2.22-2.25

---

Record 6
The following is a meta-GGA SCAN calculation of Dy2Te5 at its PBEsol-relaxed geometry, from Alexandria via LeMat-Bulk.

E_tot	-41.395	eV/atom
formation energy without anion corrections	-1.13	eV per atom
mass density	8.0	g/cm³
space-group type	Cmcm (63)

abc: 4.3081 4.3098 21.6018
angles: 90.00 95.72 90.00
Closest atoms and distances in Å follow each position.
Atoms (fractional coordinates):
1 Te 0.9568 0.7500 0.9136  4 Te 3.05, 2 Dy 3.23
2 Te 0.0432 0.2500 0.0864  4 Te 3.05, 2 Dy 3.23
3 Te 0.5432 0.7500 0.0865  4 Te 3.05, 2 Dy 3.23
4 Te 0.4568 0.2500 0.9135  4 Te 3.05, 2 Dy 3.23
5 Te 0.7500 0.7500 0.5000  4 Te 3.05, 4 Dy 3.25
6 Te 0.2500 0.2500 0.5000  4 Te 3.05, 4 Dy 3.25
7 Te 0.1732 0.7500 0.3464  5 Dy 3.17-3.18
8 Te 0.8268 0.2500 0.6536  5 Dy 3.17-3.18
9 Te 0.3788 0.7500 0.7577  5 Dy 3.10-3.19
10 Te 0.6212 0.2500 0.2423  5 Dy 3.10-3.19
11 Dy 0.0992 0.7500 0.1984  9 Te 3.18-3.23
12 Dy 0.9008 0.2500 0.8016  9 Te 3.18-3.23
13 Dy 0.3067 0.7500 0.6134  9 Te 3.10-3.25
14 Dy 0.6933 0.2500 0.3866  9 Te 3.10-3.25